The following is a PBE with a Hubbard U calculation of a relaxed structure of Ba2NdCo2O6, from Alexandria.

* crystal system: trigonal
* total magnetic moment: 7.00 μB per formula unit
* DOS at the Fermi energy: 7.3 states/eV/f.u.
* E: -212.84 eV per cell

a = 6.1194 Å, b = 6.1194 Å, c = 18.0811 Å
α = 90.00°, β = 90.00°, γ = 120.00°
Space group R-3m (No. 166, hexagonal axes)
Unique sites:
Ba1 0.0000 0.0000 0.2095 (multiplicity 6)
Nd1 0.0000 0.0000 0.0000 (multiplicity 3)
Co1 0.0000 0.0000 0.4205 (multiplicity 6)
O1 0.0072 0.5036 0.7556 (multiplicity 18)

The following is a PBE with a Hubbard U calculation of a relaxed structure of Ba2Nd2Co4O11, from Alexandria.

* crystal system: orthorhombic
* total magnetic moment: 10.17 μB per formula unit
* DOS at the Fermi energy: 4.2 states/eV/f.u.
* energy above the lowest structure with this stoichiometry: 0.010 eV/atom
* E: -125.44 eV per cell

a = 3.9260 Å, b = 7.9399 Å, c = 7.7301 Å
α = 90.00°, β = 90.00°, γ = 90.00°
Space group Pmm2 (No. 25)
Unique sites:
Ba1 0.0000 0.2482 0.0000 (multiplicity 2)
Nd1 0.0000 0.2699 0.4950 (multiplicity 2)
Co1 0.5000 0.0000 0.2590 (multiplicity 1)
Co2 0.5000 0.0000 0.7448 (multiplicity 1)
Co3 0.5000 0.5000 0.2472 (multiplicity 1)
Co4 0.5000 0.5000 0.7462 (multiplicity 1)
O1 0.0000 0.0000 0.3151 (multiplicity 1)
O2 0.0000 0.0000 0.6953 (multiplicity 1)
O3 0.0000 0.5000 0.2724 (multiplicity 1)
O4 0.0000 0.5000 0.7296 (multiplicity 1)
O5 0.5000 0.0000 0.9919 (multiplicity 1)
O6 0.5000 0.2271 0.6971 (multiplicity 2)
O7 0.5000 0.2374 0.2846 (multiplicity 2)
O8 0.5000 0.5000 0.9996 (multiplicity 1)
O9 0.5000 0.5000 0.4950 (multiplicity 1)